(1)
{"formula": "MnTlMo2I", "functional": "GGA-PBE", "state": "optimized geometry", "lattice_angstrom": [[4.986, 0.000, 0.000], [0.000, 4.986, 0.000], [0.000, 0.000, 4.747]], "species": ["Mn", "Tl", "Mo", "Mo", "I"], "frac_coords": [[0.000, 0.000, 0.000], [0.500, 0.500, 0.000], [0.000, 0.500, 0.500], [0.500, 0.000, 0.500], [0.000, 0.000, 0.500]], "e_form_raw_mev_per_atom": 1746, "final_energy_ev_per_atom": -5.204, "volume_a3_per_cell": 118.0}

=====

(2)
{"formula": "SmDyGaSi", "functional": "GGA-PBE", "state": "optimized geometry", "lattice_angstrom": [[3.990, 0.000, 0.000], [0.000, 4.352, 0.000], [0.000, 0.000, 10.874]], "species": ["Sm", "Sm", "Dy", "Dy", "Ga", "Ga", "Si", "Si"], "frac_coords": [[0.000, 0.000, 0.000], [0.000, 0.500, 0.500], [0.500, 0.000, 0.281], [0.500, 0.500, 0.781], [0.500, 0.000, 0.569], [0.500, 0.500, 0.069], [0.000, 0.000, 0.718], [0.000, 0.500, 0.218]], "e_form_raw_mev_per_atom": -733, "final_energy_ev_per_atom": -5.176, "volume_a3_per_cell": 188.8}